# 1
SiAgAs | PBE-GGA | relaxed

The structure in POSCAR format:
```
SiAgAs
1.0
0.0000 3.1068 3.1068
3.1068 0.0000 3.1068
3.1068 3.1068 0.0000
Ag As Si
1 1 1
direct
0.2500 0.2500 0.2500
0.7500 0.7500 0.7500
0.0000 0.0000 0.0000
```

## Properties
* V: 19.99 Å³/atom
* DFT total energy: -11.921 eV per cell



# 2
SmAgAs | PBE-GGA | relaxed

The structure in POSCAR format:
```
SmAgAs
1.0
2.6473 -4.0550 -0.1188
-1.8275 -4.1373 1.7345
-1.1913 -3.5822 -3.0354
Ag As Sm
1 1 1
direct
0.2500 0.2500 0.2500
0.7500 0.7500 0.7500
0.0000 0.0000 0.0000
```

## Properties
* V: 26.79 Å³/atom
* DFT total energy: -13.489 eV per cell